LiDyPaSe4 (PBE-GGA, relaxed); raw formation energy = -1.53 eV per atom; SG = Imma, No. 74; E = -81.296 eV/cell
1.0
8.376 0.000 0.000
-4.188 7.159 -0.476
0.000 -4.288 7.052
Pa Dy Li Se
2 2 2 8
Direct
0.500 0.500 0.500
0.000 0.500 0.500
0.500 0.000 0.500
0.500 0.000 0.000
0.882 0.764 0.132
0.118 0.236 0.868
0.254 0.509 0.265
0.254 0.509 0.743
0.269 0.015 0.258
0.731 0.985 0.742
0.746 0.015 0.258
0.746 0.491 0.735
0.254 0.985 0.742
0.746 0.491 0.257


Tc2Ge2Rh (PBE-GGA, relaxed); E above lowest polymorph = 0 meV per atom; calculated formation energy = 0.2 eV/f.u.; SG = P4/mbm, No. 127; E = -74.320 eV/cell
1.0
-4.775 2.339 4.572
4.372 -1.424 5.295
1.162 2.784 -0.211
Rh Ge Tc
2 4 4
Direct
0.500 0.500 0.000
0.000 0.000 0.000
0.150 0.350 0.000
0.650 0.150 0.000
0.850 0.650 0.000
0.350 0.850 0.000
0.351 0.149 0.500
0.149 0.649 0.500
0.851 0.351 0.500
0.649 0.851 0.500


SmAg5 (PBE-GGA, relaxed); calculated formation energy = -0.5 eV/f.u.; SG = Cmmm, No. 65; E = -19.443 eV/cell
1.0
-3.943 2.618 -1.877
0.928 -1.941 -4.656
-3.316 -2.650 3.269
Sm Ag
1 5
Direct
0.000 0.000 0.000
0.000 0.668 0.336
0.500 0.500 0.000
0.500 0.817 0.635
0.500 0.183 0.365
0.000 0.332 0.664


BPt2Se (PBE-GGA, relaxed); raw formation energy = -0.01 eV per atom; E above lowest polymorph = 0 meV per atom; SG = I-42d, No. 122; E = -44.550 eV/cell
1.0
-4.070 -1.358 -2.549
0.436 -4.643 1.777
-5.070 -1.602 4.064
Pt B Se
4 2 2
Direct
0.375 0.452 0.750
0.548 0.125 0.250
0.202 0.625 0.250
0.875 0.798 0.750
0.250 0.750 0.500
0.500 0.500 0.000
0.750 0.250 0.500
0.000 0.000 0.000


KLa3Cu (PBE-GGA, relaxed); E above lowest polymorph = 1003 meV per atom; calculated formation energy = 6.4 eV/f.u.; SG = Pm-3m, No. 221; E = -13.527 eV/cell
1.0
5.605 0.000 0.000
0.000 5.605 0.000
0.000 0.000 5.605
Cu La K
1 3 1
Direct
0.500 0.500 0.500
0.500 0.000 0.000
0.000 0.000 0.500
0.000 0.500 0.000
0.000 0.000 0.000


Ho2NpScS4 (PBE-GGA, relaxed); raw formation energy = -1.79 eV per atom; SG = P2/m, No. 10; E = -59.265 eV/cell
1.0
3.842 0.000 0.000
0.000 6.655 0.121
0.000 -2.319 6.259
Np Sc S Ho
1 1 4 2
Direct
0.000 0.000 0.000
0.500 0.500 0.000
0.500 0.256 0.247
0.000 0.740 0.242
0.500 0.744 0.753
0.000 0.260 0.758
0.000 0.500 0.500
0.500 0.000 0.500


ZrTlIn (PBE-GGA, relaxed); E above lowest polymorph = 20 meV per atom; calculated formation energy = 0.1 eV/f.u.; SG = I4mm, No. 107; E = -13.555 eV/cell
1.0
6.877 -0.094 0.000
5.304 4.379 0.000
-6.091 -2.142 2.371
Zr Tl In
1 1 1
Direct
0.663 0.663 0.000
0.329 0.329 0.000
0.009 0.009 0.000


Tb4Y5Ho2 (PBE-GGA, relaxed); E above lowest polymorph = 67 meV per atom; calculated formation energy = 0.9 eV/f.u.; SG = C2/m, No. 12; E = -59.050 eV/cell
1.0
3.523 0.000 0.000
0.000 14.342 -1.178
-1.761 -8.245 7.733
Tb Y Ho
4 5 2
Direct
0.863 0.202 0.726
0.137 0.798 0.274
0.414 0.476 0.827
0.586 0.524 0.173
0.184 0.102 0.368
0.729 0.368 0.458
0.816 0.898 0.632
0.271 0.632 0.542
0.500 0.000 0.000
0.952 0.736 0.905
0.048 0.264 0.095


SnP2PbO8 (PBE-GGA, relaxed); raw formation energy = -1.95 eV per atom; E above lowest polymorph = 33 meV per atom; SG = R-3, No. 148; E = -81.605 eV/cell
1.0
-1.936 4.226 -1.475
-4.842 0.481 -0.330
-2.511 3.955 6.567
O Sn Pb P
8 1 1 2
Direct
0.016 0.412 0.835
0.588 0.262 0.165
0.262 0.984 0.165
0.412 0.738 0.835
0.188 0.188 0.435
0.738 0.016 0.835
0.812 0.812 0.565
0.984 0.588 0.165
0.000 0.000 0.000
0.500 0.500 0.500
0.256 0.256 0.232
0.744 0.744 0.768


LiPrGa4Pd2 (PBE-GGA, relaxed); calculated formation energy = -5.1 eV/f.u.; SG = R-3m, No. 166; E = -34.248 eV/cell
1.0
4.325 0.000 0.000
2.163 3.746 0.000
2.163 1.249 8.799
Ga Pr Pd Li
4 1 2 1
Direct
0.870 0.870 0.389
0.401 0.401 0.797
0.599 0.599 0.203
0.130 0.130 0.611
0.000 0.000 0.000
0.232 0.232 0.303
0.768 0.768 0.697
0.500 0.500 0.500


Re2PtW (PBE-GGA, relaxed); E above lowest polymorph = 398 meV per atom; calculated formation energy = 1.2 eV/f.u.; SG = Fm-3m, No. 225; E = -42.724 eV/cell
1.0
0.000 3.147 3.147
3.147 0.000 3.147
3.147 3.147 0.000
Re W Pt
2 1 1
Direct
0.750 0.750 0.750
0.250 0.250 0.250
0.000 0.000 0.000
0.500 0.500 0.500


Ca2BN2 (PBE-GGA, relaxed); raw formation energy = 0.31 eV per atom; E above lowest polymorph = 1294 meV per atom; SG = P4/mbm, No. 127; E = -51.516 eV/cell
1.0
6.064 0.000 0.000
0.000 6.064 0.000
0.000 0.000 3.426
N Ca B
4 4 2
Direct
0.671 0.171 0.000
0.329 0.829 0.000
0.829 0.671 0.000
0.171 0.329 0.000
0.652 0.848 0.500
0.348 0.152 0.500
0.152 0.652 0.500
0.848 0.348 0.500
0.000 0.000 0.000
0.500 0.500 0.000


Ba2In3Ge4 (PBE-GGA, relaxed); calculated formation energy = -2.7 eV/f.u.; SG = Cmce, No. 64; E = -66.394 eV/cell
1.0
6.542 0.000 0.000
0.000 8.730 0.000
-3.271 0.000 8.442
Ge In Ba
8 6 4
Direct
0.315 0.455 0.629
0.196 0.750 0.892
0.696 0.750 0.892
0.185 0.955 0.371
0.804 0.250 0.108
0.685 0.545 0.371
0.304 0.250 0.108
0.815 0.045 0.629
0.000 0.000 0.000
0.500 0.500 0.000
0.032 0.750 0.565
0.532 0.750 0.565
0.468 0.250 0.435
0.968 0.250 0.435
0.388 0.084 0.776
0.112 0.584 0.224
0.612 0.916 0.224
0.888 0.416 0.776


SrBeAl2Ge (PBE-GGA, relaxed); calculated formation energy = 8.6 eV/f.u.; SG = P4/mmm, No. 123; E = -8.862 eV/cell
1.0
-0.596 3.766 -4.283
1.942 -3.509 -3.357
-5.291 -1.973 -0.999
Be Al Ge Sr
1 2 1 1
Direct
0.000 0.500 0.000
0.500 0.000 0.000
0.000 0.000 0.500
0.500 0.500 0.500
0.000 0.000 0.000


Ni3Sn2 (PBE-GGA, relaxed); E above lowest polymorph = 170 meV per atom; calculated formation energy = -0.5 eV/f.u.; SG = R-3m, No. 166; E = -25.810 eV/cell
1.0
-1.371 -1.487 -3.462
1.263 -3.583 -1.283
-4.383 -4.230 1.230
Sn Ni
2 3
Direct
0.592 0.592 0.224
0.408 0.408 0.776
0.854 0.854 0.438
0.146 0.146 0.562
0.000 0.000 0.000


TbTlCdCl6 (PBE-GGA, relaxed); raw formation energy = -1.62 eV per atom; SG = P-31c, No. 163; E = -67.223 eV/cell
1.0
-3.315 -5.874 -1.782
3.609 3.559 -4.793
11.461 -7.416 3.123
Cl Tb Cd Tl
12 2 2 2
Direct
0.374 0.374 0.359
0.626 0.000 0.859
0.374 0.000 0.641
0.000 0.374 0.641
0.374 0.374 0.859
0.626 0.000 0.359
0.626 0.626 0.141
0.000 0.374 0.141
0.000 0.626 0.359
0.000 0.626 0.859
0.626 0.626 0.641
0.374 0.000 0.141
0.667 0.333 0.250
0.333 0.667 0.750
0.333 0.667 0.250
0.667 0.333 0.750
0.000 0.000 0.000
0.000 0.000 0.500


Ba2ZnGa (PBE-GGA, relaxed); calculated formation energy = -1.1 eV/f.u.; SG = Cm, No. 8; E = -9.216 eV/cell
1.0
-3.141 -2.526 -2.096
-2.652 -2.790 2.412
-7.910 4.798 1.146
Ba Zn Ga
2 1 1
Direct
0.889 0.652 0.570
0.716 0.478 0.090
0.136 0.899 0.829
0.469 0.233 0.829


CaPaCd4 (PBE-GGA, relaxed); calculated formation energy = 0.2 eV/f.u.; SG = F-43m, No. 216; E = -14.946 eV/cell
1.0
-0.537 1.801 5.650
-1.344 -3.933 4.264
4.107 -1.551 4.022
Ca Cd Pa
1 4 1
Direct
0.000 0.000 0.000
0.126 0.625 0.625
0.625 0.625 0.625
0.625 0.625 0.126
0.625 0.126 0.625
0.250 0.250 0.250


Pr2HfAg (PBE-GGA, relaxed); E above lowest polymorph = 366 meV per atom; calculated formation energy = 1.5 eV/f.u.; SG = R-3m, No. 166; E = -20.853 eV/cell
1.0
-0.907 -3.152 0.135
-0.328 -1.733 -2.768
10.865 -4.846 -0.198
Hf Pr Ag
1 2 1
Direct
0.000 0.000 0.000
0.091 0.091 0.728
0.909 0.909 0.272
0.500 0.500 0.500


ThScGe (PBE-GGA, relaxed); calculated formation energy = -0.8 eV/f.u.; SG = Cmcm, No. 63; E = -38.259 eV/cell
1.0
5.481 0.000 0.000
0.000 3.334 0.000
0.000 1.667 8.452
Th Ge Sc
2 2 2
Direct
0.250 0.329 0.342
0.750 0.671 0.658
0.250 0.149 0.702
0.750 0.851 0.298
0.500 0.000 0.000
0.000 0.000 0.000